(1)
! LaPrAs, relaxed, DFT GGA-PBE; values from VASP
&SYSTEM
  ibrav = 0, nat = 3, ntyp = 3
/
ATOMIC_SPECIES
Pr 140.91 Pr.upf
As 74.92 As.upf
La 138.91 La.upf
CELL_PARAMETERS angstrom
6.8865 0.0000 0.0000
0.0000 4.1721 0.0000
0.0000 -2.0860 3.6131
ATOMIC_POSITIONS crystal
Pr 0.2539 0.3333 0.6667
As 0.0014 0.0000 0.0000
La 0.7447 0.6667 0.3333
! uncorrected energy: -5.661 eV per atom
! V: 104 Å³ per cell
! spin magnetization: 1.23 μB per cell

(2)
! Ba2AcTl5, relaxed, DFT GGA-PBE; values from VASP
&SYSTEM
  ibrav = 0, nat = 8, ntyp = 3
/
ATOMIC_SPECIES
Ba 137.33 Ba.upf
Ac 227.00 Ac.upf
Tl 204.38 Tl.upf
CELL_PARAMETERS angstrom
-0.2106 2.6758 5.2513
4.5354 -3.2820 1.8543
3.0813 6.0218 -6.2564
ATOMIC_POSITIONS crystal
Ba 0.7355 0.7355 0.4710
Ba 0.2645 0.2645 0.5290
Ac 0.0000 0.0000 0.0000
Tl 0.5000 0.5000 0.0000
Tl 0.8905 0.3905 0.7811
Tl 0.3905 0.8905 0.7811
Tl 0.1095 0.6095 0.2189
Tl 0.6095 0.1095 0.2189
! uncorrected energy: -2.811 eV per atom
! V: 286 Å³ per cell
! spin magnetization: 0.00 μB per cell

(3)
! Ac3ScTl6, relaxed, DFT GGA-PBE; values from VASP
&SYSTEM
  ibrav = 0, nat = 20, ntyp = 3
/
ATOMIC_SPECIES
Ac 227.00 Ac.upf
Sc 44.96 Sc.upf
Tl 204.38 Tl.upf
CELL_PARAMETERS angstrom
-1.0124 -8.6288 -0.9894
8.5666 -0.0402 1.7531
-2.8590 0.5560 8.2449
ATOMIC_POSITIONS crystal
Ac 0.1840 0.7500 0.3160
Ac 0.3160 0.1840 0.7500
Ac 0.2500 0.6840 0.8160
Ac 0.7500 0.3160 0.1840
Ac 0.6840 0.8160 0.2500
Ac 0.8160 0.2500 0.6840
Sc 0.0000 0.0000 0.0000
Sc 0.5000 0.5000 0.5000
Tl 0.9150 0.6468 0.9817
Tl 0.0183 0.0850 0.3532
Tl 0.1468 0.4150 0.4817
Tl 0.3532 0.0183 0.0850
Tl 0.4150 0.4817 0.1468
Tl 0.5183 0.8532 0.5850
Tl 0.4817 0.1468 0.4150
Tl 0.5850 0.5183 0.8532
Tl 0.6468 0.9817 0.9150
Tl 0.8532 0.5850 0.5183
Tl 0.9817 0.9150 0.6468
Tl 0.0850 0.3532 0.0183
! uncorrected energy: -3.567 eV per atom
! V: 649 Å³ per cell
! spin magnetization: 0.00 μB per cell

(4)
! ZrIrCl2, relaxed, DFT GGA-PBE; values from VASP
&SYSTEM
  ibrav = 0, nat = 4, ntyp = 3
/
ATOMIC_SPECIES
Ir 192.22 Ir.upf
Zr 91.22 Zr.upf
Cl 35.45 Cl.upf
CELL_PARAMETERS angstrom
4.5774 0.0000 0.0000
2.2887 3.9641 0.0000
2.2887 1.3214 3.7374
ATOMIC_POSITIONS crystal
Ir 0.0000 0.0000 0.0000
Zr 0.5000 0.5000 0.5000
Cl 0.7500 0.7500 0.7500
Cl 0.2500 0.2500 0.2500
! uncorrected energy: -5.119 eV per atom
! ΔE_f (raw): 0.16 eV per atom
! ΔE to the lowest computed polymorph: 3.85 eV/f.u.
! V: 68 Å³ per cell
! spin magnetization: 0.00 μB per cell